# 1
Density functional theory data (PBE) for a relaxed ErNiSn crystal.

Lattice parameters (Å, degrees): 4.4722 4.4722 3.5588 90.00 90.00 120.00
Fractional coordinates of all 3 atoms:
Er  0.0000  0.0000  0.0000
Ni  0.6667  0.3333  0.5000
Sn  0.3333  0.6667  0.5000

Properties
The value obtained for the total magnetization is 0.00 μB/atom. As for the formation energy: -172 kJ/mol of formula units.

***

# 2
Density functional theory data (PBE) for a relaxed Tb3SnBi crystal.

Lattice parameters (Å, degrees): 8.9537 8.9537 8.6664 94.15 94.15 30.10
Fractional coordinates of all 10 atoms:
Tb  0.0385  0.0385  0.2532
Tb  0.1738  0.1738  0.9468
Tb  0.2585  0.2585  0.3462
Tb  0.7415  0.7415  0.6538
Tb  0.8262  0.8262  0.0532
Tb  0.9615  0.9615  0.7468
Sn  0.3474  0.3474  0.8197
Sn  0.6526  0.6526  0.1803
Bi  0.1166  0.1166  0.5894
Bi  0.8834  0.8834  0.4106

Properties
The value obtained for the total magnetization is 0.09 μB/atom. As for the formation energy: -193 kJ/mol of formula units.

***

# 3
Density functional theory data (PBE) for a relaxed KNiP2Cl crystal.

Lattice parameters (Å, degrees): 5.2117 5.2117 4.2063 90.00 90.00 90.00
Fractional coordinates of all 5 atoms:
K  0.0000  0.0000  0.0000
Ni  0.5000  0.5000  0.0000
P  0.0000  0.5000  0.5000
P  0.5000  0.0000  0.5000
Cl  0.5000  0.5000  0.5000

Properties
The value obtained for the total magnetization is 0.39 μB/atom. As for the distance to the lowest polymorph of the same formula: 1174 meV per atom. The calculation puts the uncorrected formation energy at 0.87 eV per atom.

***

# 4
Density functional theory data (PBE) for a relaxed PmFePH crystal.

Lattice parameters (Å, degrees): 3.8091 3.8091 7.7894 90.00 90.00 90.00
Fractional coordinates of all 8 atoms:
Pm  0.2500  0.2500  0.1783
Pm  0.7500  0.7500  0.8217
Fe  0.2500  0.7500  0.5000
Fe  0.7500  0.2500  0.5000
P  0.2500  0.2500  0.6461
P  0.7500  0.7500  0.3539
H  0.2500  0.7500  0.0000
H  0.7500  0.2500  0.0000

Properties
The value obtained for the total magnetization is 0.00 μB/atom.

***

| no. | total DFT energy (no corrections) (eV per cell) |
| --- | --- |
| 1 | -16.134 |
| 2 | -47.556 |
| 3 | -15.217 |
| 4 | -51.396 |